# Si3Ag5

A geometry-optimized Si3Ag5 structure (PBE, Alexandria).

Structure (POSCAR):
```
Si3Ag5
1.0
3.995 -4.313 0.000
3.995 4.313 0.000
0.000 0.000 3.949
Si Ag
3 5
Cartesian
0.000 0.000 0.000
1.874 0.000 1.975
6.117 0.000 1.975
1.998 2.157 0.000
3.995 2.113 1.975
1.998 -2.157 0.000
3.995 0.000 0.000
3.995 -2.113 1.975
```

The density of states at the Fermi level is 2.15 states/eV/f.u. The space group is Cmmm. The value obtained for the density is 7.61 Mg/m³. The relative energy among the computed polymorphs is 0.000 eV/atom. The calculation puts the raw formation energy at 0.285 eV/atom.

---

# Si3Ag

A geometry-optimized Si3Ag structure (PBE, Alexandria).

Structure (POSCAR):
```
Si3Ag
1.0
1.354 0.781 10.226
-1.354 0.781 10.226
0.000 -1.563 10.226
Si Ag
3 1
Cartesian
0.000 0.000 0.000
0.000 0.000 7.607
0.000 0.000 23.072
0.000 0.000 15.339
```

The density of states at the Fermi level is 0.19 states/eV/f.u. The space group is R-3m. The value obtained for the density is 4.92 Mg/m³. The relative energy among the computed polymorphs is 0.195 eV/atom. The calculation puts the raw formation energy at 0.480 eV/atom.

---

# Si5Ag

A geometry-optimized Si5Ag structure (PBE, Alexandria).

Structure (POSCAR):
```
Si5Ag
1.0
4.855 0.000 0.000
-2.428 4.205 0.000
0.000 0.000 4.579
Si Ag
5 1
Cartesian
-1.580 2.737 0.000
0.000 2.803 2.290
0.848 1.468 0.000
3.160 0.000 0.000
2.428 1.402 2.290
0.000 0.000 2.290
```

The density of states at the Fermi level is 2.29 states/eV/f.u. The space group is P-62m. The value obtained for the density is 4.41 Mg/m³. The relative energy among the computed polymorphs is 0.154 eV/atom. The calculation puts the raw formation energy at 0.537 eV/atom.

---

The highest raw formation energy belongs to which entry? Si5Ag

---

Which of these has the lowest density of states at the Fermi level? Si3Ag

---

Repeat the second record exactly.
# Si3Ag

A geometry-optimized Si3Ag structure (PBE, Alexandria).

Structure (POSCAR):
```
Si3Ag
1.0
1.354 0.781 10.226
-1.354 0.781 10.226
0.000 -1.563 10.226
Si Ag
3 1
Cartesian
0.000 0.000 0.000
0.000 0.000 7.607
0.000 0.000 23.072
0.000 0.000 15.339
```

The density of states at the Fermi level is 0.19 states/eV/f.u. The space group is R-3m. The value obtained for the density is 4.92 Mg/m³. The relative energy among the computed polymorphs is 0.195 eV/atom. The calculation puts the raw formation energy at 0.480 eV/atom.

---

What is the formula in the first record? Si3Ag5